[1]
Compound: Ag3Pt2
Source: Alexandria via LeMat-Bulk
Functional: GGA-PBE
Structure: optimized geometry

Lattice parameters (Å, degrees): 4.944 5.746 6.471 102.64 97.57 106.45
Atoms (fractional coordinates):
Ag 0.998 0.502 0.002
Pt 0.592 0.699 0.211
Pt 0.190 0.895 0.398
Ag 0.406 0.304 0.798
Ag 0.596 0.196 0.202
Ag 0.402 0.798 0.798
Pt 0.808 0.601 0.589
Ag 0.804 0.104 0.598
Pt 0.210 0.405 0.402
Ag 0.994 0.996 0.002

Calculated values
Calculated volume in Å³ per cell: 168.31
Excess energy over the best structure of this formula in the dataset in kJ/mol of formula units: 40

=====

[2]
Compound: AgPt8
Source: Alexandria via LeMat-Bulk
Functional: GGA-PBE
Structure: optimized geometry

Lattice parameters (Å, degrees): 7.375 7.375 7.375 91.99 91.99 158.55
Atoms (fractional coordinates):
Pt 0.668 0.000 0.668
Ag 0.000 0.000 0.000
Pt 0.332 0.000 0.332
Pt 0.332 0.668 0.000
Pt 0.332 0.332 0.665
Pt 0.668 0.668 0.335
Pt 0.668 0.332 0.000
Pt 0.000 0.668 0.668
Pt 0.000 0.332 0.332

Calculated values
Calculated volume in Å³ per cell: 144.17
Excess energy over the best structure of this formula in the dataset in kJ/mol of formula units: 25

=====

[3]
Compound: AgPt
Source: Alexandria via LeMat-Bulk
Functional: GGA-PBE
Structure: optimized geometry

Lattice parameters (Å, degrees): 6.409 6.409 4.041 90.00 90.00 127.17
Atoms (fractional coordinates):
Ag 0.625 0.875 0.500
Ag 0.004 0.004 0.000
Ag 0.875 0.625 0.500
Pt 0.121 0.379 0.500
Pt 0.750 0.250 0.000
Pt 0.250 0.750 0.000
Pt 0.379 0.121 0.500
Ag 0.496 0.496 0.000

Calculated values
Calculated volume in Å³ per cell: 132.27

=====

[4]
Compound: AgPt4
Source: Alexandria via LeMat-Bulk
Functional: GGA-PBE
Structure: optimized geometry

Lattice parameters (Å, degrees): 4.805 4.805 4.805 90.00 90.00 90.00
Atoms (fractional coordinates):
Pt 0.000 0.500 0.500
Ag 0.500 0.500 0.500
Pt 0.500 0.000 0.500
Pt 0.500 0.500 0.000
Pt 0.000 0.000 0.000

Calculated values
Calculated volume in Å³ per cell: 110.96
Excess energy over the best structure of this formula in the dataset in kJ/mol of formula units: 887

=====

[5]
Compound: AgPt
Source: Alexandria via LeMat-Bulk
Functional: GGA-PBE
Structure: optimized geometry

Lattice parameters (Å, degrees): 6.544 6.544 8.011 90.00 90.00 144.46
Atoms (fractional coordinates):
Ag 0.334 0.666 0.500
Pt 0.161 0.839 0.241
Pt 0.663 0.337 0.000
Ag 0.996 0.004 0.000
Ag 0.833 0.167 0.250
Ag 0.333 0.667 0.000
Pt 0.506 0.494 0.259
Ag 0.670 0.330 0.500
Ag 0.833 0.167 0.750
Pt 0.161 0.839 0.759
Pt 0.506 0.494 0.741
Pt 0.004 0.996 0.500

Calculated values
Calculated volume in Å³ per cell: 199.41

=====

[6]
Compound: Ag5Pt4
Source: Alexandria via LeMat-Bulk
Functional: GGA-PBE
Structure: optimized geometry

Lattice parameters (Å, degrees): 6.545 6.545 6.343 72.45 72.45 35.65
Atoms (fractional coordinates):
Ag 0.667 0.667 0.006
Pt 0.785 0.785 0.328
Ag 0.111 0.111 0.333
Ag 0.000 0.000 0.997
Pt 0.438 0.438 0.338
Ag 0.555 0.555 0.660
Pt 0.887 0.887 0.666
Pt 0.335 0.335 0.001
Ag 0.223 0.223 0.670

Calculated values
Calculated volume in Å³ per cell: 150.24
Excess energy over the best structure of this formula in the dataset in kJ/mol of formula units: 13

=====

[7]
Compound: Ag3Pt
Source: Alexandria via LeMat-Bulk
Functional: GGA-PBE
Structure: optimized geometry

Lattice parameters (Å, degrees): 5.211 5.211 5.211 90.00 90.00 90.00
Atoms (fractional coordinates):
Ag 0.500 0.000 0.750
Pt 0.000 0.000 0.000
Ag 0.500 0.000 0.250
Ag 0.750 0.500 0.000
Ag 0.250 0.500 0.000
Ag 0.000 0.750 0.500
Ag 0.000 0.250 0.500
Pt 0.500 0.500 0.500

Calculated values
Calculated volume in Å³ per cell: 141.54

=====

[8]
Compound: Ag4Pt
Source: Alexandria via LeMat-Bulk
Functional: GGA-PBE
Structure: optimized geometry

Lattice parameters (Å, degrees): 6.436 6.436 5.009 50.03 50.03 90.00
Atoms (fractional coordinates):
Ag 0.798 0.602 0.000
Ag 0.602 0.202 0.000
Pt 0.000 0.000 0.000
Ag 0.398 0.798 0.000
Ag 0.202 0.398 0.000

Calculated values
Calculated volume in Å³ per cell: 86.67
Excess energy over the best structure of this formula in the dataset in kJ/mol of formula units: 6

=====

Computed size of the total moment, in the same sequence as the records: 0.0, 0.0, 0.0, 0.0, 0.0, 0.0, 0.0, 0.0 μB per cell.
Computed ΔE_f, in the same sequence as the records: 27, 40, 36, 1793, 35, 22, 134, 26 meV per atom.
Computed density of states at the Fermi level, in the same sequence as the records: 5.75, 11.56, 6.16, 7.25, 6.15, 4.22, 4.61, 1.71 states/eV/cell.